# TbPrNd

A geometry-optimized TbPrNd structure (PBE, the Alexandria database).

Total DFT energy (no corrections) in eV/atom: -4.705
Excess energy over the best structure of this formula in the dataset in kJ per mole of atoms: 0.15
Total magnetization in μB per cell: 0.000
ΔE_f in eV/f.u.: 0.063

abc: 3.6662 3.6648 9.1699
angles: 78.25 90.00 59.99
Element x y z (fractional)
Tb: 0.8712 0.6797 0.9478
Pr: 0.0917 0.2389 0.6181
Nd: 0.6493 0.1238 0.2738